Record 1
CaAlMo2 | PBE | optimized geometry

```
CaAlMo2
1.0
2.756 0.000 0.000
0.000 4.931 0.000
-0.657 0.000 5.357
Ca Al Mo
1 1 2
direct
0.000 0.000 0.000
0.500 0.000 0.500
0.322 0.500 0.759
0.678 0.500 0.241
```

Results
The space group is P2/m, No. 10. The spin magnetization comes out at 0.00 μB/f.u. The electronic total energy comes out at -0.4691 Ry/atom. For the calculated formation energy, the calculation gives 0.469 eV per atom.

=====

Record 2
CrSbPdPt | PBE | optimized geometry

```
CrSbPdPt
1.0
0.000 3.239 3.239
3.239 0.000 3.239
3.239 3.239 0.000
Cr Sb Pd Pt
1 1 1 1
direct
0.000 0.000 0.000
0.500 0.500 0.500
0.750 0.750 0.750
0.250 0.250 0.250
```

Results
The space group is F-43m, No. 216. The spin magnetization comes out at 3.77 μB/f.u. The electronic total energy comes out at -0.4723 Ry/atom. The calculation puts the uncorrected formation energy at -0.7 eV per formula unit.